Here is an optimized crystal structure of SmLuSc from the Alexandria database. Energies are from PBE-GGA.

## Properties
Total DFT energy (no corrections)   -15.3 eV/cell
Formation enthalpy at 0 K   0.0821 eV/atom
Symmetry   P-6m2, No. 187
Energy above the most stable polymorph in this dataset   32 meV/atom

a = 3.358 Å, b = 5.473 Å, c = 5.473 Å
α = 120.00°, β = 90.00°, γ = 90.00°
Atoms (fractional coordinates):
1 Sc 0.166 0.333 0.667
2 Lu 0.167 0.000 0.000
3 Sm 0.667 0.667 0.333